# 1
## LiAlSb2 (GGA-PBEsol)

Data for a geometry-optimized LiAlSb2 structure.

Cell: 3.261 5.251 5.251 Å, 104.71 90.13 90.13°
Sites, in units of the cell vectors:
Sb 0.000 0.500 0.000
Sb 0.000 0.000 0.500
Al 0.500 0.000 0.000
Li 0.500 0.500 0.500

Output
- space group = No. 12
- formation energy from raw total energies (eV/atom) = -0.1018



# 2
## Li2AlSb (GGA-PBEsol)

Data for a geometry-optimized Li2AlSb structure.

Cell: 4.139 4.139 5.191 Å, 113.50 113.50 90.00°
Sites, in units of the cell vectors:
Sb 0.500 0.500 0.000
Al 0.250 0.750 0.500
Li 0.000 0.000 0.000
Li 0.750 0.250 0.500

Output
- space group = No. 119
- formation energy from raw total energies (eV/atom) = -0.2741



# 3
## Li2AlSb (GGA-PBEsol)

Data for a geometry-optimized Li2AlSb structure.

Cell: 2.997 4.196 5.854 Å, 90.00 90.00 90.00°
Sites, in units of the cell vectors:
Sb 0.500 0.500 0.000
Al 0.500 0.500 0.500
Li 0.000 0.000 0.743
Li 0.000 0.000 0.257

Output
- space group = No. 47
- formation energy from raw total energies (eV/atom) = -0.2759



# 4
## Li2AlSb (GGA-PBEsol)

Data for a geometry-optimized Li2AlSb structure.

Cell: 2.973 5.127 5.127 Å, 109.51 90.00 90.00°
Sites, in units of the cell vectors:
Sb 0.500 0.000 0.000
Al 0.500 0.500 0.500
Li 0.000 0.500 0.000
Li 0.000 0.000 0.500

Output
- space group = No. 65
- formation energy from raw total energies (eV/atom) = -0.2684



# 5
## Li2AlSb (GGA-PBEsol)

Data for a geometry-optimized Li2AlSb structure.

Cell: 4.088 4.088 10.037 Å, 101.75 101.75 90.00°
Sites, in units of the cell vectors:
Sb 0.250 0.750 0.500
Sb 0.000 0.000 0.000
Al 0.750 0.250 0.500
Al 0.500 0.500 0.000
Li 0.373 0.875 0.250
Li 0.877 0.375 0.250
Li 0.125 0.123 0.750
Li 0.625 0.627 0.750

Output
- space group = No. 122
- formation energy from raw total energies (eV/atom) = -0.1179



# 6
## LiAl2Sb (GGA-PBEsol)

Data for a geometry-optimized LiAl2Sb structure.

Cell: 2.996 4.720 6.093 Å, 112.13 103.25 92.48°
Sites, in units of the cell vectors:
Sb 0.500 0.500 0.000
Al 0.000 0.000 0.500
Al 0.500 0.500 0.500
Li 0.000 0.000 0.000

Output
- space group = No. 12
- formation energy from raw total energies (eV/atom) = -0.0608



# 7
## LiAlSb2 (GGA-PBEsol)

Data for a geometry-optimized LiAlSb2 structure.

Cell: 6.651 6.937 6.651 Å, 61.36 90.00 118.64°
Sites, in units of the cell vectors:
Sb 0.120 0.750 0.875
Sb 0.630 0.750 0.375
Sb 0.375 0.250 0.120
Sb 0.875 0.250 0.630
Al 0.750 0.500 0.750
Al 0.000 0.000 0.000
Li 0.250 0.500 0.250
Li 0.500 0.000 0.500

Output
- space group = No. 122
- formation energy from raw total energies (eV/atom) = 0.1134



# 8
## LiAl2Sb2 (GGA-PBEsol)

Data for a geometry-optimized LiAl2Sb2 structure.

Cell: 4.123 4.123 7.726 Å, 105.47 105.47 90.00°
Sites, in units of the cell vectors:
Sb 0.382 0.382 0.764
Sb 0.618 0.618 0.236
Al 0.250 0.750 0.500
Al 0.750 0.250 0.500
Li 0.000 0.000 0.000

Output
- space group = No. 139
- formation energy from raw total energies (eV/atom) = -0.0230



# 9
## Li2AlSb (GGA-PBEsol)

Data for a geometry-optimized Li2AlSb structure.

Cell: 3.145 3.145 9.321 Å, 80.29 80.29 60.00°
Sites, in units of the cell vectors:
Sb 0.500 0.500 0.500
Al 0.000 0.000 0.000
Li 0.249 0.249 0.254
Li 0.751 0.751 0.746

Output
- space group = No. 166
- formation energy from raw total energies (eV/atom) = -0.1483



# 10
## LiAlSb2 (GGA-PBEsol)

Data for a geometry-optimized LiAlSb2 structure.

Cell: 5.047 5.047 5.047 Å, 60.00 60.00 60.00°
Sites, in units of the cell vectors:
Sb 0.000 0.000 0.000
Sb 0.250 0.250 0.250
Al 0.500 0.500 0.500
Li 0.750 0.750 0.750

Output
- space group = No. 216
- formation energy from raw total energies (eV/atom) = 0.0986



# 11
## LiAl2Sb (GGA-PBEsol)

Data for a geometry-optimized LiAl2Sb structure.

Cell: 4.069 4.327 5.229 Å, 114.44 112.90 90.00°
Sites, in units of the cell vectors:
Sb 0.249 0.749 0.497
Al 0.003 0.003 0.006
Al 0.750 0.250 0.500
Li 0.498 0.498 0.997

Output
- space group = No. 44
- formation energy from raw total energies (eV/atom) = -0.0450



# 12
## Li2AlSb (GGA-PBEsol)

Data for a geometry-optimized Li2AlSb structure.

Cell: 3.033 4.834 5.596 Å, 98.66 90.00 108.28°
Sites, in units of the cell vectors:
Sb 0.000 0.000 0.500
Al 0.500 0.000 0.000
Li 0.747 0.495 0.754
Li 0.253 0.505 0.246

Output
- space group = No. 12
- formation energy from raw total energies (eV/atom) = -0.1787



Repeat the seventh record exactly.
## LiAlSb2 (GGA-PBEsol)

Data for a geometry-optimized LiAlSb2 structure.

Cell: 6.651 6.937 6.651 Å, 61.36 90.00 118.64°
Sites, in units of the cell vectors:
Sb 0.120 0.750 0.875
Sb 0.630 0.750 0.375
Sb 0.375 0.250 0.120
Sb 0.875 0.250 0.630
Al 0.750 0.500 0.750
Al 0.000 0.000 0.000
Li 0.250 0.500 0.250
Li 0.500 0.000 0.500

Output
- space group = No. 122
- formation energy from raw total energies (eV/atom) = 0.1134